First-principles (PBE) data for a relaxed structure of Mg4CdPd15, as listed in the Alexandria database.

Geometry as CIF:
```
data_Mg4CdPd15
_chemical_formula_sum 'Mg4 Cd1 Pd15'
_cell_length_a 3.987
_cell_length_b 3.987
_cell_length_c 19.981
_cell_angle_alpha 90.00
_cell_angle_beta 90.00
_cell_angle_gamma 90.00
_space_group_name_H-M_alt 'P 4/m m m'
_space_group_IT_number 123
_space_group_name_Hall '-P 4 2'
loop_
_atom_site_label
_atom_site_fract_x
_atom_site_fract_y
_atom_site_fract_z
_atom_site_occupancy
Mg1 0.000 0.000 0.099 1
Mg2 0.000 0.000 0.298 1
Cd1 0.000 0.000 0.500 1
Pd1 0.000 0.500 0.000 1
Pd2 0.000 0.500 0.198 1
Pd3 0.000 0.500 0.397 1
Pd4 0.500 0.500 0.099 1
Pd5 0.500 0.500 0.297 1
Pd6 0.500 0.500 0.500 1
```

E: -4.6848 eV/atom
DFT formation energy: -0.4255 eV per atom